[1]
A geometry-optimized ScNb2FeCu structure. Source: Alexandria via LeMat-Bulk, functional PBE-GGA.

The structure in POSCAR format:
```
ScNb2FeCu
1.0
4.519 0.000 0.000
0.000 4.519 0.000
0.000 0.000 4.634
Sc Nb Fe Cu
1 2 1 1
Direct
0.000 0.000 0.000
0.000 0.500 0.500
0.500 0.000 0.500
0.500 0.500 0.500
0.500 0.500 0.000
```

Results
Energy, eV/atom: -7.2609
ΔE_f, meV/atom: 545

[2]
A geometry-optimized Sc2NbFeCu structure. Source: Alexandria via LeMat-Bulk, functional PBE-GGA.

The structure in POSCAR format:
```
Sc2NbFeCu
1.0
4.948 0.000 0.000
0.000 4.948 0.000
0.000 0.000 4.719
Sc Nb Fe Cu
2 1 1 1
Direct
0.000 0.500 0.000
0.500 0.000 0.000
0.000 0.000 0.000
0.500 0.500 0.500
0.000 0.000 0.500
```

Results
Energy, eV/atom: -5.8283
ΔE_f, meV/atom: 1230

[3]
A geometry-optimized Nb2FeCuSe structure. Source: Alexandria via LeMat-Bulk, functional PBE-GGA.

The structure in POSCAR format:
```
Nb2FeCuSe
1.0
4.774 0.000 0.000
0.000 4.774 0.000
0.000 0.000 4.235
Nb Fe Cu Se
2 1 1 1
Direct
0.000 0.500 0.000
0.500 0.000 0.000
0.000 0.000 0.500
0.500 0.500 0.500
0.000 0.000 0.000
```

Results
Energy, eV/atom: -6.4135
Formation energy from raw total energies, kJ/mol of formula units: 397

[4]
A geometry-optimized TiNbFeCu structure. Source: Alexandria via LeMat-Bulk, functional PBE-GGA.

The structure in POSCAR format:
```
TiNbFeCu
1.0
0.000 3.064 3.064
3.064 0.000 3.064
3.064 3.064 0.000
Ti Nb Fe Cu
1 1 1 1
Direct
0.000 0.000 0.000
0.500 0.500 0.500
0.750 0.750 0.750
0.250 0.250 0.250
```

Results
Energy, eV/atom: -7.6741
ΔE_f, meV/atom: -43